Entry 1:
VASP calculation (PBE) on an optimized crystal structure of TbPrY3Sc.

Summary:
energy of formation: 0.043 eV per atom
N(E_F): 1.5740 states/eV/atom
E: -5.8128 eV per atom
symmetry: Cmcm

a b c (Å): 7.927 7.927 10.051
angles (deg): 90.00 90.00 143.25
Fractional coordinates of all 12 atoms:
Tb: 0.000 0.000 0.000
Tb: 0.000 0.000 0.500
Pr: 0.497 0.503 0.750
Pr: 0.503 0.497 0.250
Y: 0.170 0.830 0.750
Y: 0.333 0.667 0.501
Y: 0.333 0.667 0.999
Y: 0.667 0.333 0.001
Y: 0.667 0.333 0.499
Y: 0.830 0.170 0.250
Sc: 0.168 0.832 0.250
Sc: 0.832 0.168 0.750

Entry 2:
VASP calculation (PBE) on an optimized crystal structure of Tb6Pr2Y3Sc.

Summary:
energy of formation: 0.027 eV per atom
N(E_F): 1.3572 states/eV/atom
E: -5.2285 eV per atom
symmetry: C2/m

a b c (Å): 6.169 6.169 11.835
angles (deg): 94.97 94.97 119.98
Fractional coordinates of all 12 atoms:
Tb: 0.083 0.413 0.750
Tb: 0.247 0.247 0.249
Tb: 0.413 0.083 0.750
Tb: 0.587 0.917 0.250
Tb: 0.753 0.753 0.751
Tb: 0.917 0.587 0.250
Pr: 0.334 0.666 0.500
Pr: 0.666 0.334 0.500
Y: 0.166 0.834 0.000
Y: 0.500 0.500 0.000
Y: 0.834 0.166 0.000
Sc: 0.000 0.000 0.500

Entry 3:
VASP calculation (PBE) on an optimized crystal structure of Tb2Pr4YSc.

Summary:
energy of formation: 0.028 eV per atom
N(E_F): 1.3120 states/eV/atom
E: -5.1187 eV per atom
symmetry: Pmmm

a b c (Å): 5.141 5.155 9.959
angles (deg): 90.00 90.00 90.00
Fractional coordinates of all 8 atoms:
Tb: 0.000 0.000 0.000
Tb: 0.500 0.500 0.500
Pr: 0.000 0.500 0.244
Pr: 0.000 0.500 0.756
Pr: 0.500 0.000 0.244
Pr: 0.500 0.000 0.756
Y: 0.000 0.000 0.500
Sc: 0.500 0.500 0.000

Entry 4:
VASP calculation (PBE) on an optimized crystal structure of Tb3PrYSc.

Summary:
energy of formation: 0.059 eV per atom
N(E_F): 1.5940 states/eV/atom
E: -5.1857 eV per atom
symmetry: P2_1/m

a b c (Å): 9.357 3.653 11.619
angles (deg): 90.00 106.82 90.00
Fractional coordinates of all 12 atoms:
Tb: 0.162 0.250 0.054
Tb: 0.176 0.250 0.553
Tb: 0.237 0.750 0.819
Tb: 0.763 0.250 0.181
Tb: 0.824 0.750 0.447
Tb: 0.838 0.750 0.946
Pr: 0.454 0.250 0.352
Pr: 0.546 0.750 0.648
Y: 0.094 0.750 0.286
Y: 0.906 0.250 0.714
Sc: 0.459 0.750 0.099
Sc: 0.541 0.250 0.901

Entry 5:
VASP calculation (PBE) on an optimized crystal structure of TbPrYSc.

Summary:
energy of formation: 0.122 eV per atom
N(E_F): 1.7784 states/eV/atom
E: -5.4290 eV per atom
symmetry: F-43m

a b c (Å): 5.613 5.613 5.613
angles (deg): 60.00 60.00 60.00
Fractional coordinates of all 4 atoms:
Tb: 0.000 0.000 0.000
Pr: 0.250 0.250 0.250
Y: 0.750 0.750 0.750
Sc: 0.500 0.500 0.500

Entry 6:
VASP calculation (PBE) on an optimized crystal structure of TbPr2Y6Sc3.

Summary:
energy of formation: 0.053 eV per atom
N(E_F): 1.5617 states/eV/atom
E: -5.9448 eV per atom
symmetry: C2/m

a b c (Å): 6.123 6.123 11.586
angles (deg): 95.05 95.05 120.00
Fractional coordinates of all 12 atoms:
Tb: 0.000 0.000 0.000
Pr: 0.333 0.667 0.000
Pr: 0.667 0.333 0.000
Y: 0.087 0.420 0.262
Y: 0.245 0.245 0.738
Y: 0.420 0.087 0.262
Y: 0.580 0.913 0.738
Y: 0.755 0.755 0.262
Y: 0.913 0.580 0.738
Sc: 0.166 0.834 0.500
Sc: 0.500 0.500 0.500
Sc: 0.834 0.166 0.500